DFT (GGA-PBEsol) results for crystalline MnHgRu2 at its relaxed geometry.

Output
The total energy is -7.367 eV per atom. The value obtained for the density of states at the Fermi level is 3.067 states/eV per cell.

Unit cell a=2.779 b=2.779 c=7.752 alpha=90.00 beta=90.00 gamma=90.00
Atoms (fractional coordinates):
Mn  0.500  0.500  0.772
Ru  0.500  0.500  0.220
Ru  0.000  0.000  0.008
Hg  0.000  0.000  0.500

=====

DFT (GGA-PBEsol) results for crystalline Sr2HgRh at its relaxed geometry.

Output
The total energy is -3.429 eV per atom. The value obtained for the density of states at the Fermi level is 1.943 states/eV per cell.

Unit cell a=4.411 b=4.466 c=6.121 alpha=90.00 beta=111.12 gamma=90.00
Atoms (fractional coordinates):
Hg  0.818  0.000  0.636
Sr  0.109  0.000  0.218
Sr  0.391  0.500  0.782
Rh  0.681  0.500  0.361

=====

DFT (GGA-PBEsol) results for crystalline FeSi2PtI at its relaxed geometry.

Output
The total energy is -3.884 eV per atom. The value obtained for the density of states at the Fermi level is 5.947 states/eV per cell. The uncorrected formation energy comes out at 188.5 kJ/mol of atoms.

Unit cell a=4.500 b=5.113 c=5.113 alpha=90.00 beta=90.00 gamma=90.00
Atoms (fractional coordinates):
I  0.000  0.000  0.000
Si  0.000  0.500  0.000
Si  0.000  0.000  0.500
Pt  0.500  0.500  0.500
Fe  0.500  0.000  0.000

=====

DFT (GGA-PBEsol) results for crystalline CaCd2 at its relaxed geometry.

Output
The total energy is -1.856 eV per atom. The value obtained for the density of states at the Fermi level is 2.590 states/eV per cell.

Unit cell a=5.894 b=5.894 c=5.894 alpha=60.00 beta=60.00 gamma=60.00
Atoms (fractional coordinates):
Cd  0.125  0.125  0.125
Cd  0.125  0.125  0.625
Cd  0.625  0.125  0.125
Cd  0.125  0.625  0.125
Ca  0.750  0.750  0.750
Ca  0.500  0.500  0.500

=====

DFT (GGA-PBEsol) results for crystalline KTe2Pb2 at its relaxed geometry.

Output
The total energy is -3.655 eV per atom. The value obtained for the density of states at the Fermi level is 1.056 states/eV per cell. The uncorrected formation energy comes out at -40.4 kJ/mol of atoms.

Unit cell a=5.920 b=6.734 c=5.920 alpha=63.92 beta=90.00 gamma=116.08
Atoms (fractional coordinates):
Pb  0.350  0.699  0.650
Pb  0.650  0.301  0.350
K  0.000  0.000  0.000
Te  0.250  0.500  0.250
Te  0.750  0.500  0.750

=====

DFT (GGA-PBEsol) results for crystalline BiPbNCl2 at its relaxed geometry.

Output
The total energy is -3.746 eV per atom. The value obtained for the density of states at the Fermi level is 2.690 states/eV per cell. The uncorrected formation energy comes out at 40.5 kJ/mol of atoms.

Unit cell a=4.637 b=4.637 c=4.849 alpha=90.00 beta=90.00 gamma=90.00
Atoms (fractional coordinates):
Bi  0.000  0.000  0.500
Cl  0.500  0.000  0.000
Cl  0.000  0.500  0.000
N  0.000  0.000  0.000
Pb  0.500  0.500  0.500

=====

DFT (GGA-PBEsol) results for crystalline Ta3ZnTc at its relaxed geometry.

Output
The total energy is -8.477 eV per atom. The value obtained for the density of states at the Fermi level is 7.851 states/eV per cell.

Unit cell a=4.566 b=4.566 c=4.566 alpha=90.00 beta=90.00 gamma=90.00
Atoms (fractional coordinates):
Ta  0.000  0.000  0.500
Ta  0.500  0.000  0.000
Ta  0.000  0.500  0.000
Tc  0.500  0.500  0.500
Zn  0.000  0.000  0.000

=====

DFT (GGA-PBEsol) results for crystalline Cs3B6H12Se4Br at its relaxed geometry.

Output
The total energy is -4.335 eV per atom. The value obtained for the density of states at the Fermi level is 0.000 states/eV per cell.

Unit cell a=8.703 b=10.481 c=10.481 alpha=120.00 beta=90.00 gamma=90.00
Atoms (fractional coordinates):
Se  0.846  0.776  0.552
Se  0.346  0.224  0.448
Se  0.519  0.667  0.333
Se  0.846  0.776  0.224
Se  0.846  0.448  0.224
Se  0.346  0.224  0.776
Se  0.346  0.552  0.776
Se  0.019  0.333  0.667
B  0.112  0.229  0.459
B  0.920  0.876  0.438
B  0.112  0.541  0.771
B  0.612  0.771  0.541
B  0.920  0.562  0.124
B  0.920  0.562  0.438
B  0.420  0.438  0.876
B  0.612  0.459  0.229
B  0.420  0.124  0.562
B  0.612  0.771  0.229
B  0.112  0.229  0.771
B  0.420  0.438  0.562
H  0.560  0.129  0.565
H  0.368  0.500  0.001
H  0.568  0.898  0.297
H  0.068  0.601  0.703
H  0.060  0.565  0.129
H  0.568  0.399  0.297
H  0.368  0.500  0.500
H  0.868  0.500  0.999
H  0.568  0.898  0.601
H  0.868  0.500  0.500
H  0.060  0.565  0.435
H  0.568  0.399  0.102
H  0.068  0.102  0.703
H  0.068  0.297  0.399
H  0.060  0.871  0.435
H  0.568  0.703  0.102
H  0.068  0.102  0.399
H  0.368  0.999  0.500
H  0.068  0.601  0.898
H  0.068  0.297  0.898
H  0.868  0.001  0.500
H  0.560  0.435  0.871
H  0.560  0.435  0.565
H  0.568  0.703  0.601
Cs  0.747  0.156  0.844
Cs  0.247  0.844  0.156
Cs  0.747  0.156  0.312
Cs  0.247  0.844  0.688
Cs  0.247  0.312  0.156
Cs  0.747  0.688  0.844
Br  0.999  0.000  0.000
Br  0.499  0.000  0.000